The following is a GGA-PBE calculation of CrCuOs after structural relaxation, from the Alexandria database.

Output
As for the formation energy: 0.26 eV per atom. The total magnetization is 0.00 μB/atom. The space group is P3m1 (156). The calculation puts the volume at 38.6 Å³/cell.

a = 4.1730 Å, b = 4.1730 Å, c = 2.5606 Å
α = 90.00°, β = 90.00°, γ = 120.00°
Closest atoms and distances in Å follow each position.
Fractional positions:
Os  0.6667  0.3333  0.7190  3 Cr 2.50, 2 Os 2.56, 3 Cu 2.63
Cu  0.3333  0.6667  0.3063  3 Cr 2.55, 2 Cu 2.56, 6 Os 2.63-2.84
Cr  0.0000  0.0000  0.9747  3 Os 2.50, 3 Cu 2.55, 2 Cr 2.56